No. 1
Entry from Alexandria via LeMat-Bulk: crystalline Re2IN at its relaxed geometry (PBE).

Properties
Space-group type: Fm-3m, No. 225
Density of states at the Fermi level: 3.08 states/eV/f.u.
Raw formation energy: 1.888 eV/atom
Volume: 58 Å³/cell
VASP energy: -6.805 eV/atom
Offset from the most stable computed form: 3.70 eV/f.u.
Spin magnetization: 0.00 μB per cell

Cell: 4.348 4.348 4.348 Å, 60.00 60.00 60.00°
Atoms (fractional coordinates):
1 N 0.000 0.000 0.000
2 Re 0.750 0.750 0.750
3 I 0.500 0.500 0.500
4 Re 0.250 0.250 0.250

No. 2
Entry from Alexandria via LeMat-Bulk: crystalline Re2IN at its relaxed geometry (PBE).

Properties
Space-group type: I-42d, No. 122
Density of states at the Fermi level: 1.71 states/eV/f.u.
Raw formation energy: 0.964 eV/atom
Volume: 144 Å³/cell
VASP energy: -7.729 eV/atom
Offset from the most stable computed form: 0.00 eV/f.u.
Spin magnetization: 0.00 μB per cell

Cell: 5.059 5.059 6.654 Å, 67.66 67.66 90.00°
Atoms (fractional coordinates):
1 N 0.500 0.500 0.000
2 I 0.000 0.000 0.000
3 Re 0.500 0.125 0.250
4 N 0.250 0.750 0.500
5 Re 0.875 0.750 0.750
6 Re 0.250 0.625 0.250
7 I 0.750 0.250 0.500
8 Re 0.375 0.500 0.750

No. 3
Entry from Alexandria via LeMat-Bulk: crystalline ReIN3 at its relaxed geometry (PBE).

Properties
Space-group type: Pm-3m, No. 221
Density of states at the Fermi level: 4.86 states/eV/f.u.
Raw formation energy: 1.184 eV/atom
Volume: 64 Å³/cell
VASP energy: -6.611 eV/atom
Spin magnetization: 0.00 μB per cell

Cell: 3.993 3.993 3.993 Å, 90.00 90.00 90.00°
Atoms (fractional coordinates):
1 Re 0.000 0.000 0.000
2 N 0.000 0.000 0.500
3 I 0.500 0.500 0.500
4 N 0.000 0.500 0.000
5 N 0.500 0.000 0.000

No. 4
Entry from Alexandria via LeMat-Bulk: crystalline ReIN3 at its relaxed geometry (PBE).

Properties
Space-group type: Pm-3m, No. 221
Density of states at the Fermi level: 3.71 states/eV/f.u.
Raw formation energy: 2.917 eV/atom
Volume: 64 Å³/cell
VASP energy: -4.878 eV/atom
Spin magnetization: 3.65 μB per cell

Cell: 4.003 4.003 4.003 Å, 90.00 90.00 90.00°
Each line ends with the local moment (μB).
Atoms (fractional coordinates):
1 I 0.000 0.000 0.000  0.01
2 N 0.500 0.000 0.000  -0.01
3 N 0.000 0.500 0.000  -0.05
4 N 0.000 0.000 0.500  0.03
5 Re 0.500 0.500 0.500  3.22

No. 5
Entry from Alexandria via LeMat-Bulk: crystalline ReRhI2N at its relaxed geometry (PBE).

Properties
Space-group type: P4/mmm, No. 123
Density of states at the Fermi level: 5.69 states/eV/f.u.
Raw formation energy: 0.883 eV/atom
Volume: 113 Å³/cell
VASP energy: -5.362 eV/atom
Offset from the most stable computed form: 0.00 eV/f.u.
Spin magnetization: 1.47 μB per cell

Cell: 5.494 5.494 3.734 Å, 90.00 90.00 90.00°
Each line ends with the local moment (μB).
Atoms (fractional coordinates):
1 N 0.000 0.000 0.500  0.00
2 I 0.000 0.500 0.000  0.07
3 Re 0.000 0.000 0.000  0.06
4 I 0.500 0.000 0.000  0.07
5 Rh 0.500 0.500 0.500  1.17

No. 6
Entry from Alexandria via LeMat-Bulk: crystalline ReRhI2N at its relaxed geometry (PBE).

Properties
Space-group type: P4/mmm, No. 123
Density of states at the Fermi level: 10.34 states/eV/f.u.
Raw formation energy: 2.246 eV/atom
Volume: 134 Å³/cell
VASP energy: -3.999 eV/atom
Offset from the most stable computed form: 6.82 eV/f.u.
Spin magnetization: 0.00 μB per cell

Cell: 5.301 4.771 5.301 Å, 90.00 90.00 90.00°
Atoms (fractional coordinates):
1 Re 0.000 0.000 0.000
2 I 0.000 0.000 0.500
3 N 0.500 0.500 0.500
4 Rh 0.000 0.500 0.000
5 I 0.500 0.000 0.000

Q: Number 1 is which compound?
A: Re2IN

Q: The lowest density of states at the Fermi level belongs to which entry?
A: number 2

Q: Look up the VASP energy of the third one.
A: -6.611 eV/atom